The following is a DFT calculation (PBE) of a relaxed structure of Pu4AlGa12.

## Properties
The calculation puts the energy of formation from the pure elements at -5.882 eV/f.u. Its density of states at the Fermi level is 38.588 states/eV/cell. Its symmetry is Im-3m (229). As for the final energy: -6.075 eV/atom.

Unit cell a=7.545 b=7.545 c=7.545 alpha=109.47 beta=109.47 gamma=109.47
Fractional coordinates of all 17 atoms:
Ga (0.250, 0.750, 0.500)
Pu (0.000, 0.500, 0.000)
Ga (0.000, 0.303, 0.303)
Ga (0.000, 0.697, 0.697)
Ga (0.697, 0.697, 0.000)
Ga (0.697, 0.000, 0.697)
Ga (0.500, 0.250, 0.750)
Pu (0.000, 0.000, 0.500)
Ga (0.303, 0.000, 0.303)
Pu (0.500, 0.500, 0.500)
Ga (0.750, 0.500, 0.250)
Ga (0.303, 0.303, 0.000)
Al (0.000, 0.000, 0.000)
Ga (0.750, 0.250, 0.500)
Pu (0.500, 0.000, 0.000)
Ga (0.250, 0.500, 0.750)
Ga (0.500, 0.750, 0.250)